(1)
Entry from Alexandria via LeMat-Bulk: crystalline H2PtF6 at its relaxed geometry (PBE).

Structure (POSCAR):
```
H2PtF6
1.0
4.623 0.000 0.000
2.275 4.954 0.000
2.263 1.139 4.858
H Pt F
2 1 6
Direct
0.000 0.230 0.270 H
0.000 0.770 0.730 H
0.500 0.000 0.500 Pt
0.156 0.300 0.336 F
0.156 0.838 0.798 F
0.454 0.229 0.727 F
0.546 0.771 0.273 F
0.844 0.162 0.202 F
0.844 0.700 0.664 F
```

Energy = -4.04 eV per atom
V = 111.3 Å³/cell
Excess energy over the best structure of this formula in the dataset = 0.0 meV per atom
Spin magnetization = 0.00 μB per formula unit
Symmetry = P-1 (2)


(2)
Entry from Alexandria via LeMat-Bulk: crystalline AcTa6S12 at its relaxed geometry (PBE).

Structure (POSCAR):
```
AcTa6S12
1.0
5.875 3.392 3.102
-5.875 3.392 3.102
0.000 -6.783 3.102
Ac Ta S
1 6 12
Direct
0.000 0.000 0.000 Ac
0.244 0.244 0.635 Ta
0.244 0.635 0.244 Ta
0.365 0.756 0.756 Ta
0.635 0.244 0.244 Ta
0.756 0.365 0.756 Ta
0.756 0.756 0.365 Ta
0.128 0.500 0.872 S
0.128 0.872 0.500 S
0.174 0.460 0.460 S
0.460 0.174 0.460 S
0.460 0.460 0.174 S
0.500 0.128 0.872 S
0.500 0.872 0.128 S
0.540 0.540 0.826 S
0.540 0.826 0.540 S
0.826 0.540 0.540 S
0.872 0.128 0.500 S
0.872 0.500 0.128 S
```

Energy = -7.16 eV per atom
V = 370.8 Å³/cell
Spin magnetization = 0.00 μB per formula unit
Symmetry = R-3m (166)
Formation energy (no corrections) = -57 kJ per mole of atoms


(3)
Entry from Alexandria via LeMat-Bulk: crystalline Pm4Ge3I at its relaxed geometry (PBE).

Structure (POSCAR):
```
Pm4Ge3I
1.0
6.081 0.000 0.000
0.000 10.273 0.000
0.000 0.000 8.948
Pm Ge I
8 6 2
Direct
0.250 0.031 0.154 Pm
0.250 0.250 0.692 Pm
0.250 0.469 0.154 Pm
0.250 0.750 0.666 Pm
0.750 0.250 0.334 Pm
0.750 0.531 0.846 Pm
0.750 0.750 0.308 Pm
0.750 0.969 0.846 Pm
0.250 0.250 0.362 Ge
0.250 0.504 0.831 Ge
0.250 0.996 0.831 Ge
0.750 0.004 0.169 Ge
0.750 0.496 0.169 Ge
0.750 0.750 0.638 Ge
0.250 0.750 0.310 I
0.750 0.250 0.690 I
```

Energy = -4.88 eV per atom
V = 559.0 Å³/cell
Spin magnetization = 0.00 μB per formula unit
Symmetry = Pmmn (59)
Formation energy (no corrections) = -56 kJ per mole of atoms


(4)
Entry from Alexandria via LeMat-Bulk: crystalline Ca3DyU3As8 at its relaxed geometry (PBE).

Structure (POSCAR):
```
Ca3DyU3As8
1.0
4.129 2.384 6.815
-4.129 2.384 6.815
0.000 -4.768 6.815
Ca Dy U As
3 1 3 8
Direct
0.000 0.500 0.500 Ca
0.500 0.000 0.500 Ca
0.500 0.500 0.000 Ca
0.500 0.500 0.500 Dy
0.000 0.000 0.500 U
0.000 0.500 0.000 U
0.500 0.000 0.000 U
0.228 0.749 0.749 As
0.244 0.244 0.244 As
0.251 0.251 0.772 As
0.251 0.772 0.251 As
0.749 0.228 0.749 As
0.749 0.749 0.228 As
0.756 0.756 0.756 As
0.772 0.251 0.251 As
```

Energy = -6.32 eV per atom
V = 402.5 Å³/cell
Spin magnetization = 3.02 μB per formula unit
Symmetry = R-3m (166)
Energy relative to the elements = -13.18 eV/f.u.


(5)
Entry from Alexandria via LeMat-Bulk: crystalline Na2Cd3Bi2 at its relaxed geometry (PBE).

Structure (POSCAR):
```
Na2Cd3Bi2
1.0
5.913 -2.357 0.000
5.913 2.357 0.000
-2.562 0.000 7.308
Na Cd Bi
2 3 2
Direct
0.131 0.131 0.268 Na
0.869 0.869 0.732 Na
0.396 0.396 0.055 Cd
0.500 0.500 0.500 Cd
0.604 0.604 0.945 Cd
0.159 0.159 0.723 Bi
0.841 0.841 0.277 Bi
```

Energy = -2.02 eV per atom
V = 203.7 Å³/cell
Spin magnetization = 0.00 μB per formula unit
Symmetry = C2/m (12)
Energy relative to the elements = -0.97 eV/f.u.


(6)
Entry from Alexandria via LeMat-Bulk: crystalline TcWS2N at its relaxed geometry (PBE).

Structure (POSCAR):
```
TcWS2N
1.0
4.773 0.000 0.000
0.000 4.773 0.000
0.000 0.000 3.651
Tc W S N
1 1 2 1
Direct
0.000 0.000 0.000 Tc
0.500 0.500 0.500 W
0.000 0.500 0.000 S
0.500 0.000 0.000 S
0.000 0.000 0.500 N
```

Energy = -7.01 eV per atom
V = 83.2 Å³/cell
Excess energy over the best structure of this formula in the dataset = 340.1 meV per atom
Spin magnetization = 3.08 μB per formula unit
Symmetry = P4/mmm (123)
Formation energy (no corrections) = 94 kJ per mole of atoms


(7)
Entry from Alexandria via LeMat-Bulk: crystalline TeP3 at its relaxed geometry (PBE).

Structure (POSCAR):
```
TeP3
1.0
4.601 0.000 0.000
0.000 3.447 0.000
-2.106 0.000 5.775
Te P
1 3
Direct
0.000 0.000 0.000 Te
0.004 0.000 0.522 P
0.340 0.500 0.568 P
0.556 0.500 0.953 P
```

Energy = -4.60 eV per atom
V = 91.6 Å³/cell
Excess energy over the best structure of this formula in the dataset = 42.4 meV per atom
Spin magnetization = 0.00 μB per formula unit
Symmetry = Pm (6)
Formation energy (no corrections) = 23 kJ per mole of atoms


(8)
Entry from Alexandria via LeMat-Bulk: crystalline Cs3PdBr4 at its relaxed geometry (PBE).

Structure (POSCAR):
```
Cs3PdBr4
1.0
12.477 0.000 0.000
0.000 7.605 0.000
0.000 0.000 7.318
Cs Pd Br
6 2 8
Direct
0.000 0.110 0.000 Cs
0.247 0.303 0.399 Cs
0.253 0.697 0.899 Cs
0.500 0.890 0.500 Cs
0.747 0.697 0.899 Cs
0.753 0.303 0.399 Cs
0.000 0.805 0.366 Pd
0.500 0.195 0.866 Pd
0.000 0.111 0.523 Br
0.000 0.562 0.112 Br
0.214 0.786 0.399 Br
0.286 0.214 0.899 Br
0.500 0.438 0.612 Br
0.500 0.889 0.023 Br
0.714 0.214 0.899 Br
0.786 0.786 0.399 Br
```

Energy = -3.08 eV per atom
V = 694.3 Å³/cell
Spin magnetization = 1.00 μB per formula unit
Symmetry = Pmn2_1 (31)
Formation energy (no corrections) = -123 kJ per mole of atoms


Which of these has the highest spin magnetization?
TcWS2N


Among the records above, which one has the highest energy?
Na2Cd3Bi2